1.
## RbRe2Os4 (PBE)

Data for a relaxed RbRe2Os4 crystal.

```
7
Lattice="-2.381 2.381 6.896 2.381 -2.381 6.896 2.381 2.381 -6.896" Properties=species:S:1:pos:R:3 pbc="T T T"
Rb 0.000 0.000 0.000
Re 0.000 0.000 5.573
Re 0.000 0.000 8.219
Os 2.381 0.000 0.000
Os 0.000 0.000 3.336
Os 0.000 2.381 0.000
Os 0.000 0.000 10.456
```

2.
## CsScRe2 (PBE)

Data for a relaxed CsScRe2 crystal.

```
4
Lattice="0.000 3.403 3.403 3.403 0.000 3.403 3.403 3.403 0.000" Properties=species:S:1:pos:R:3 pbc="T T T"
Cs 0.000 0.000 0.000
Sc 3.403 3.403 3.403
Re 1.702 1.702 1.702
Re 5.105 5.105 5.105
```

Number 1: formation energy from the elements 3.0274 eV per atom, electronic total energy -49.59 eV per cell. Number 2: formation energy from the elements 1.8919 eV per atom, electronic total energy -24.51 eV per cell.